Material: ZrSi4Hg
Method: DFT, GGA-PBE
State: optimized geometry

Summary:
Its theoretical density is 6.790 Mg/m³. The total magnetization is 0.00 Bohr magnetons per cell. As for the uncorrected formation energy: 0.11 eV per atom. The calculation puts the density of states at the Fermi level at 0.52 states/eV/atom.

abc: 5.1897 5.1897 5.1897
angles: 60.00 60.00 60.00
Element x y z (fractional)
1 Zr 0.0000 0.0000 0.0000
2 Si 0.3749 0.3749 0.3749
3 Si 0.3749 0.3749 0.8753
4 Si 0.3749 0.8753 0.3749
5 Si 0.8753 0.3749 0.3749
6 Hg 0.7500 0.7500 0.7500